(1)
The following is a PBE calculation of Sm4C after structural relaxation, from Alexandria via LeMat-Bulk.

Unit cell a=5.1811 b=5.1811 c=5.1811 alpha=90.00 beta=90.00 gamma=90.00
Atoms (fractional coordinates):
1 Sm 0.0000 0.0000 0.0000
2 Sm 0.0000 0.5000 0.5000
3 Sm 0.5000 0.0000 0.5000
4 Sm 0.5000 0.5000 0.0000
5 C 0.5000 0.5000 0.5000

Summary:
The total energy is -27.77 eV/cell. Its energy of formation from the pure elements is 65.4 meV/atom.

(2)
The following is a PBE calculation of ScTeOs2Ru after structural relaxation, from Alexandria via LeMat-Bulk.

Unit cell a=4.6829 b=4.6829 c=5.0847 alpha=90.00 beta=90.00 gamma=90.00
Atoms (fractional coordinates):
1 Sc 0.0000 0.0000 0.0000
2 Te 0.5000 0.5000 0.0000
3 Os 0.0000 0.5000 0.5000
4 Os 0.5000 0.0000 0.5000
5 Ru 0.5000 0.5000 0.5000

Summary:
The total energy is -34.96 eV/cell. The calculation puts the uncorrected formation energy at 28.8 kcal/mol of atoms. As for the energy above the most stable polymorph in this dataset: 0.0 meV per atom.

(3)
The following is a PBE calculation of Mg15TlPb4 after structural relaxation, from Alexandria via LeMat-Bulk.

Unit cell a=4.4918 b=4.4918 c=23.5332 alpha=90.00 beta=90.00 gamma=90.00
Atoms (fractional coordinates):
1 Mg 0.0000 0.0000 0.0000
2 Mg 0.0000 0.0000 0.1994
3 Mg 0.0000 0.0000 0.3998
4 Mg 0.0000 0.0000 0.6002
5 Mg 0.0000 0.0000 0.8006
6 Mg 0.0000 0.5000 0.0990
7 Mg 0.0000 0.5000 0.2996
8 Mg 0.0000 0.5000 0.5000
9 Mg 0.0000 0.5000 0.7004
10 Mg 0.0000 0.5000 0.9010
11 Mg 0.5000 0.0000 0.0990
12 Mg 0.5000 0.0000 0.2996
13 Mg 0.5000 0.0000 0.5000
14 Mg 0.5000 0.0000 0.7004
15 Mg 0.5000 0.0000 0.9010
16 Tl 0.5000 0.5000 0.0000
17 Pb 0.5000 0.5000 0.1992
18 Pb 0.5000 0.5000 0.3997
19 Pb 0.5000 0.5000 0.6003
20 Pb 0.5000 0.5000 0.8008

Summary:
The total energy is -41.92 eV/cell. Its energy of formation from the pure elements is -39.9 meV/atom.

(4)
The following is a PBE calculation of Tl2CrCo after structural relaxation, from Alexandria via LeMat-Bulk.

Unit cell a=6.6087 b=6.6087 c=6.6087 alpha=90.00 beta=90.00 gamma=90.00
Atoms (fractional coordinates):
1 Tl 0.2500 0.2500 0.2500
2 Tl 0.2500 0.2500 0.7500
3 Tl 0.2500 0.7500 0.2500
4 Tl 0.2500 0.7500 0.7500
5 Tl 0.7500 0.2500 0.2500
6 Tl 0.7500 0.2500 0.7500
7 Tl 0.7500 0.7500 0.2500
8 Tl 0.7500 0.7500 0.7500
9 Cr 0.0000 0.0000 0.0000
10 Cr 0.0000 0.5000 0.5000
11 Cr 0.5000 0.0000 0.5000
12 Cr 0.5000 0.5000 0.0000
13 Co 0.0000 0.0000 0.5000
14 Co 0.0000 0.5000 0.0000
15 Co 0.5000 0.0000 0.0000
16 Co 0.5000 0.5000 0.5000

Summary:
The total energy is -75.78 eV/cell. Its energy of formation from the pure elements is 629.1 meV/atom. As for the energy above the most stable polymorph in this dataset: 116.7 meV per atom.

(5)
The following is a PBE calculation of CaLaBeP2 after structural relaxation, from Alexandria via LeMat-Bulk.

Unit cell a=6.8473 b=4.5812 c=7.7830 alpha=90.00 beta=107.56 gamma=90.00
Atoms (fractional coordinates):
1 Ca 0.0000 0.0740 0.2500
2 Ca 0.0000 0.9260 0.7500
3 La 0.5000 0.2597 0.7500
4 La 0.5000 0.7403 0.2500
5 Be 0.0000 0.5000 0.0000
6 Be 0.0000 0.5000 0.5000
7 P 0.2565 0.2690 0.0228
8 P 0.2565 0.7310 0.5228
9 P 0.7435 0.2690 0.4772
10 P 0.7435 0.7310 0.9772

Summary:
The total energy is -51.43 eV/cell. Its energy of formation from the pure elements is -847.9 meV/atom.

(6)
The following is a PBE calculation of RbNa4Ag after structural relaxation, from Alexandria via LeMat-Bulk.

Unit cell a=11.5452 b=11.5452 c=5.8700 alpha=104.61 beta=104.61 gamma=41.92
Atoms (fractional coordinates):
1 Rb 0.2145 0.2145 0.2142
2 Rb 0.7855 0.7855 0.7858
3 Na 0.1537 0.6638 0.4094
4 Na 0.1881 0.8119 0.0000
5 Na 0.3362 0.8463 0.5906
6 Na 0.3689 0.3689 0.8680
7 Na 0.6311 0.6311 0.1320
8 Na 0.6638 0.1537 0.4094
9 Na 0.8119 0.1881 0.0000
10 Na 0.8463 0.3362 0.5906
11 Ag 0.4999 0.4999 0.2569
12 Ag 0.5001 0.5001 0.7431

Summary:
The total energy is -18.04 eV/cell. Its energy of formation from the pure elements is 12.4 meV/atom. As for the energy above the most stable polymorph in this dataset: 0.0 meV per atom.

(7)
The following is a PBE calculation of B after structural relaxation, from Alexandria via LeMat-Bulk.

Unit cell a=4.9456 b=4.9456 c=4.9456 alpha=90.00 beta=90.00 gamma=90.00
Atoms (fractional coordinates):
1 B 0.0000 0.2500 0.5000
2 B 0.0000 0.5000 0.2500
3 B 0.0000 0.5000 0.7500
4 B 0.0000 0.7500 0.5000
5 B 0.2500 0.0000 0.5000
6 B 0.2500 0.5000 0.0000
7 B 0.5000 0.0000 0.2500
8 B 0.5000 0.0000 0.7500
9 B 0.5000 0.2500 0.0000
10 B 0.5000 0.7500 0.0000
11 B 0.7500 0.0000 0.5000
12 B 0.7500 0.5000 0.0000

Summary:
The total energy is -67.89 eV/cell. Its energy of formation from the pure elements is 1020.3 meV/atom. As for the energy above the most stable polymorph in this dataset: 1020.3 meV per atom.

(8)
The following is a PBE calculation of Rb2UCuS6 after structural relaxation, from Alexandria via LeMat-Bulk.

Unit cell a=7.0258 b=7.0258 c=7.0258 alpha=60.00 beta=60.00 gamma=60.00
Atoms (fractional coordinates):
1 Rb 0.2500 0.2500 0.2500
2 Rb 0.7500 0.7500 0.7500
3 U 0.0000 0.0000 0.0000
4 Cu 0.5000 0.5000 0.5000
5 S 0.2541 0.2541 0.7459
6 S 0.2541 0.7459 0.2541
7 S 0.2541 0.7459 0.7459
8 S 0.7459 0.2541 0.2541
9 S 0.7459 0.2541 0.7459
10 S 0.7459 0.7459 0.2541

Summary:
The total energy is -49.27 eV/cell. The calculation puts the uncorrected formation energy at -16.6 kcal/mol of atoms.